(one)
46
Lattice="8.381 0.000 0.000 -1.906 8.186 0.000 -0.120 -0.275 9.127" Properties=species:S:1:pos:R:3 comment="Na3Mn2P2C2O14, optimized geometry, DFT GGA+U" space_group="No. 2" pbc="T T T"
Na 0.555 1.291 2.232
Na 2.299 2.860 7.020
Na 1.502 7.070 2.156
Na 4.853 0.841 6.970
Na 4.056 5.051 2.107
Na 5.801 6.620 6.895
Mn -0.451 2.012 5.859
Mn 3.584 1.806 3.139
Mn 2.771 6.105 5.987
Mn 6.806 5.899 3.268
P 0.001 8.006 5.178
P 1.170 4.174 3.892
P 5.186 3.738 5.235
P 6.354 -0.095 3.949
C -1.410 6.341 0.863
C 2.560 5.805 8.400
C 3.795 2.106 0.727
C 7.765 1.570 8.263
O -1.438 6.318 8.789
O -1.002 6.823 4.918
O 0.039 2.576 7.727
O -0.833 7.077 1.820
O 0.031 4.848 3.070
O 1.182 0.925 6.017
O 0.642 3.506 5.190
O 2.322 0.394 3.797
O 1.856 3.174 2.956
O 1.205 7.584 6.014
O 1.945 5.059 7.510
O 3.077 1.158 1.312
O 2.192 5.297 4.286
O 2.615 5.922 0.509
O 3.741 1.989 8.617
O 4.163 2.614 4.841
O 3.279 6.754 7.815
O 4.410 2.852 1.616
O 5.151 0.328 3.113
O 4.499 4.737 6.171
O 4.033 7.517 5.330
O 5.714 4.405 3.937
O 5.173 6.987 3.110
O 6.324 3.064 6.057
O 7.188 0.835 7.306
O 6.316 5.335 1.399
O 7.357 1.088 4.209
O 7.793 1.594 0.338

(two)
46
Lattice="9.114 0.000 0.000 0.000 6.571 0.000 -0.302 0.000 10.387" Properties=species:S:1:pos:R:3 comment="Na3Mn2P2C2O14, optimized geometry, DFT GGA+U" space_group="No. 4" dos_at_fermi_per_ev_cell=6.07 pbc="T T T"
Na 2.109 0.000 1.333
Na 1.959 6.310 6.590
Na 2.118 3.423 1.356
Na 6.694 0.138 9.031
Na 6.853 3.025 3.798
Na 6.703 3.285 9.055
Mn 2.902 1.730 8.869
Mn 3.147 1.692 3.737
Mn 5.665 4.977 6.651
Mn 5.911 5.016 1.518
P 3.607 4.992 9.332
P 3.814 4.954 4.018
P 4.998 1.669 6.369
P 5.205 1.707 1.056
C 0.467 1.688 9.215
C 0.726 1.661 4.076
C 8.086 4.947 6.312
C 8.345 4.973 1.173
O 0.189 5.002 6.141
O 0.471 4.984 1.024
O 1.079 1.639 8.058
O 1.326 1.702 2.883
O 1.331 1.729 10.219
O 1.627 1.562 5.035
O 2.733 6.216 8.970
O 2.758 3.754 9.002
O 2.934 3.739 3.635
O 3.025 6.201 3.548
O 3.614 1.566 7.053
O 3.842 1.726 1.803
O 4.037 5.031 5.565
O 4.198 5.013 0.497
O 4.614 1.728 9.890
O 4.775 1.746 4.823
O 4.970 5.011 8.584
O 5.198 4.851 3.335
O 5.787 2.915 6.840
O 5.878 0.454 6.752
O 6.054 0.468 1.385
O 6.079 2.930 1.417
O 7.185 4.848 5.352
O 7.481 5.014 0.169
O 7.486 4.988 7.504
O 7.734 4.924 2.330
O 8.342 1.698 9.364
O 8.623 1.716 4.247

The least stable of them is (two).